(w)
DFT (PBE) results for an optimized crystal structure of SrRh2Au2.

abc: 7.794 7.794 3.169
angles: 90.00 90.00 90.00
Fractional coordinates of all 10 atoms:
Sr1 0.000 0.000 0.000
Sr2 0.500 0.500 0.000
Rh1 0.119 0.381 0.000
Rh2 0.381 0.881 0.000
Rh3 0.619 0.119 0.000
Rh4 0.881 0.619 0.000
Au1 0.177 0.677 0.500
Au2 0.323 0.177 0.500
Au3 0.677 0.823 0.500
Au4 0.823 0.323 0.500

Results
Magnetization ... 0.00 μB per cell
Volume ... 96 Å³/f.u.
Space-group type ... P4/mbm

***

(x)
DFT (PBE) results for an optimized crystal structure of SrRh2Au2.

abc: 5.931 5.931 5.931
angles: 133.30 133.30 68.18
Fractional coordinates of all 5 atoms:
Sr1 0.000 0.000 0.000
Rh1 0.380 0.380 0.000
Rh2 0.620 0.620 0.000
Au1 0.250 0.750 0.500
Au2 0.750 0.250 0.500

Results
Magnetization ... 0.00 μB per cell
Volume ... 109 Å³/f.u.
Space-group type ... I4/mmm

***

Which of them is the most stable, and which is the least stable? (x) and (w), in that order.

***

(w)
DFT (PBE) results for an optimized crystal structure of Sr8RhAu2.

abc: 8.288 8.288 7.359
angles: 104.46 104.46 71.91
Fractional coordinates of all 11 atoms:
Sr1 0.080 0.080 0.276
Sr2 0.154 0.558 0.253
Sr3 0.368 0.368 0.751
Sr4 0.442 0.846 0.747
Sr5 0.558 0.154 0.253
Sr6 0.632 0.632 0.249
Sr7 0.846 0.442 0.747
Sr8 0.920 0.920 0.724
Rh1 0.500 0.500 0.500
Au1 0.181 0.181 0.938
Au2 0.819 0.819 0.062

Results
Magnetization ... 0.00 μB per cell
Volume ... 457 Å³/f.u.
Space-group type ... C2/m

***

(x)
DFT (PBE) results for an optimized crystal structure of Sr8RhAu2.

abc: 10.684 10.684 7.580
angles: 104.49 104.49 29.23
Fractional coordinates of all 11 atoms:
Sr1 0.039 0.039 0.316
Sr2 0.214 0.214 0.828
Sr3 0.337 0.337 0.536
Sr4 0.414 0.414 0.091
Sr5 0.586 0.586 0.909
Sr6 0.663 0.663 0.464
Sr7 0.786 0.786 0.172
Sr8 0.961 0.961 0.684
Rh1 0.500 0.500 0.500
Au1 0.191 0.191 0.227
Au2 0.809 0.809 0.773

Results
Magnetization ... 0.00 μB per cell
Volume ... 408 Å³/f.u.
Space-group type ... C2/m

***

Which of them is the most stable, and which is the least stable? (w) and (x), in that order.

***

(w)
DFT (PBE) results for an optimized crystal structure of SrRhAu3.

abc: 5.089 5.089 5.089
angles: 90.00 90.00 90.00
Fractional coordinates of all 5 atoms:
Sr1 0.000 0.000 0.000
Rh1 0.500 0.500 0.500
Au1 0.000 0.500 0.500
Au2 0.500 0.000 0.500
Au3 0.500 0.500 0.000

Results
Magnetization ... 0.00 μB per cell
Volume ... 132 Å³/f.u.
Space-group type ... Pm-3m

***

(x)
DFT (PBE) results for an optimized crystal structure of SrRhAu3.

abc: 5.629 5.629 5.629
angles: 90.00 90.00 90.00
Fractional coordinates of all 5 atoms:
Sr1 0.000 0.000 0.000
Rh1 0.500 0.500 0.500
Au1 0.000 0.000 0.500
Au2 0.000 0.500 0.000
Au3 0.500 0.000 0.000

Results
Magnetization ... 2.00 μB per cell
Volume ... 178 Å³/f.u.
Space-group type ... Pm-3m

***

Which of them is the most stable, and which is the least stable? (w) and (x), in that order.

***

(w)
DFT (PBE) results for an optimized crystal structure of Sr4RhAu.

abc: 6.562 6.562 6.562
angles: 60.00 60.00 60.00
Fractional coordinates of all 6 atoms:
Sr1 0.376 0.376 0.376
Sr2 0.376 0.376 0.873
Sr3 0.376 0.873 0.376
Sr4 0.873 0.376 0.376
Rh1 0.750 0.750 0.750
Au1 0.000 0.000 0.000

Results
Magnetization ... 0.00 μB per cell
Volume ... 200 Å³/f.u.
Space-group type ... F-43m

***

(x)
DFT (PBE) results for an optimized crystal structure of Sr4RhAu.

abc: 5.286 5.286 7.544
angles: 90.04 90.04 90.00
Fractional coordinates of all 6 atoms:
Sr1 0.000 0.500 0.238
Sr2 0.000 0.500 0.762
Sr3 0.500 0.000 0.238
Sr4 0.500 0.000 0.762
Rh1 0.000 0.000 0.000
Au1 0.500 0.500 0.500

Results
Magnetization ... 0.00 μB per cell
Volume ... 211 Å³/f.u.
Space-group type ... C2/m

***

Which of them is the most stable, and which is the least stable? (x) and (w), in that order.

***

(w)
DFT (PBE) results for an optimized crystal structure of TaRhAu.

abc: 4.476 4.476 2.887
angles: 90.00 90.00 120.00
Fractional coordinates of all 3 atoms:
Ta1 0.000 0.000 0.000
Rh1 0.667 0.333 0.858
Au1 0.333 0.667 0.425

Results
Magnetization ... 0.00 μB per cell
Volume ... 50 Å³/f.u.
Space-group type ... P3m1

***

(x)
DFT (PBE) results for an optimized crystal structure of TaRhAu.

abc: 2.910 2.910 7.075
angles: 101.94 101.94 60.28
Fractional coordinates of all 3 atoms:
Ta1 0.000 0.000 0.000
Rh1 0.232 0.232 0.694
Au1 0.451 0.451 0.343

Results
Magnetization ... 0.00 μB per cell
Volume ... 51 Å³/f.u.
Space-group type ... Cm

***

(y)
DFT (PBE) results for an optimized crystal structure of TaRhAu.

abc: 5.141 5.141 8.562
angles: 90.00 90.00 115.67
Fractional coordinates of all 12 atoms:
Ta1 0.096 0.904 0.867
Ta2 0.404 0.596 0.367
Ta3 0.596 0.404 0.633
Ta4 0.904 0.096 0.133
Rh1 0.114 0.386 0.750
Rh2 0.386 0.114 0.250
Rh3 0.614 0.886 0.750
Rh4 0.886 0.614 0.250
Au1 0.147 0.853 0.547
Au2 0.353 0.647 0.047
Au3 0.647 0.353 0.953
Au4 0.853 0.147 0.453

Results
Magnetization ... 0.00 μB per cell
Volume ... 51 Å³/f.u.
Space-group type ... Cmce

***

Which of them is the most stable, and which is the least stable? (w) and (y), in that order.

***

(w)
DFT (PBE) results for an optimized crystal structure of TaRhAu.

abc: 4.966 4.966 4.966
angles: 144.31 135.69 58.14
Fractional coordinates of all 3 atoms:
Ta1 0.000 0.000 0.000
Rh1 0.350 0.350 0.000
Au1 0.674 0.674 0.000

Results
Magnetization ... 0.00 μB per cell
Volume ... 49 Å³/f.u.
Space-group type ... Imm2

***

(x)
DFT (PBE) results for an optimized crystal structure of TaRhAu.

abc: 6.133 6.133 6.133
angles: 152.17 152.17 39.76
Fractional coordinates of all 3 atoms:
Ta1 0.000 0.000 0.000
Rh1 0.647 0.647 0.000
Au1 0.324 0.324 0.000

Results
Magnetization ... 0.00 μB per cell
Volume ... 50 Å³/f.u.
Space-group type ... I4mm

***

(y)
DFT (PBE) results for an optimized crystal structure of TaRhAu.

abc: 4.346 4.346 4.346
angles: 60.00 60.00 60.00
Fractional coordinates of all 3 atoms:
Ta1 0.000 0.000 0.000
Rh1 0.250 0.250 0.250
Au1 0.500 0.500 0.500

Results
Magnetization ... 0.00 μB per cell
Volume ... 58 Å³/f.u.
Space-group type ... F-43m

***

Which of them is the most stable, and which is the least stable? (w) and (y), in that order.

***

(w)
DFT (PBE) results for an optimized crystal structure of Tb6Rh3Au.

abc: 11.552 4.067 11.707
angles: 90.00 108.61 90.00
Fractional coordinates of all 20 atoms:
Tb1 0.044 0.250 0.407
Tb2 0.114 0.250 0.969
Tb3 0.210 0.750 0.271
Tb4 0.257 0.750 0.781
Tb5 0.377 0.250 0.550
Tb6 0.441 0.750 0.110
Tb7 0.559 0.250 0.890
Tb8 0.623 0.750 0.450
Tb9 0.743 0.250 0.219
Tb10 0.790 0.250 0.729
Tb11 0.886 0.750 0.031
Tb12 0.956 0.750 0.593
Rh1 0.030 0.250 0.172
Rh2 0.199 0.750 0.521
Rh3 0.343 0.250 0.942
Rh4 0.657 0.750 0.058
Rh5 0.801 0.250 0.479
Rh6 0.970 0.750 0.828
Au1 0.427 0.250 0.306
Au2 0.573 0.750 0.694

Results
Magnetization ... 0.00 μB per cell
Volume ... 261 Å³/f.u.
Space-group type ... P2_1/m

***

(x)
DFT (PBE) results for an optimized crystal structure of Tb6Rh3Au.

abc: 8.986 8.986 6.693
angles: 90.00 90.00 108.57
Fractional coordinates of all 20 atoms:
Tb1 0.027 0.973 0.500
Tb2 0.116 0.527 0.052
Tb3 0.254 0.746 0.606
Tb4 0.279 0.349 0.605
Tb5 0.349 0.279 0.105
Tb6 0.473 0.884 0.052
Tb7 0.527 0.116 0.552
Tb8 0.651 0.721 0.605
Tb9 0.721 0.651 0.105
Tb10 0.746 0.254 0.106
Tb11 0.884 0.473 0.552
Tb12 0.973 0.027 0.000
Rh1 0.034 0.268 0.309
Rh2 0.268 0.034 0.809
Rh3 0.412 0.588 0.878
Rh4 0.588 0.412 0.378
Rh5 0.732 0.966 0.309
Rh6 0.966 0.732 0.809
Au1 0.160 0.840 0.188
Au2 0.840 0.160 0.688

Results
Magnetization ... 0.00 μB per cell
Volume ... 256 Å³/f.u.
Space-group type ... Cmc2_1

***

Which of them is the most stable, and which is the least stable? (w) and (x), in that order.

***

(w)
DFT (PBE) results for an optimized crystal structure of Tb6Rh5Au.

abc: 4.890 6.996 7.712
angles: 90.00 108.07 90.00
Fractional coordinates of all 12 atoms:
Tb1 0.000 0.243 0.000
Tb2 0.000 0.757 0.000
Tb3 0.330 0.248 0.660
Tb4 0.330 0.752 0.660
Tb5 0.670 0.248 0.340
Tb6 0.670 0.752 0.340
Rh1 0.167 0.000 0.333
Rh2 0.168 0.500 0.335
Rh3 0.500 0.000 0.000
Rh4 0.832 0.500 0.665
Rh5 0.833 0.000 0.667
Au1 0.500 0.500 0.000

Results
Magnetization ... 0.00 μB per cell
Volume ... 251 Å³/f.u.
Space-group type ... P2/m

***

(x)
DFT (PBE) results for an optimized crystal structure of Tb6Rh5Au.

abc: 6.540 6.540 7.204
angles: 97.60 97.60 114.16
Fractional coordinates of all 12 atoms:
Tb1 0.047 0.401 0.717
Tb2 0.204 0.204 0.210
Tb3 0.401 0.047 0.717
Tb4 0.599 0.953 0.283
Tb5 0.796 0.796 0.790
Tb6 0.953 0.599 0.283
Rh1 0.000 0.000 0.500
Rh2 0.205 0.795 0.000
Rh3 0.373 0.627 0.500
Rh4 0.627 0.373 0.500
Rh5 0.795 0.205 0.000
Au1 0.500 0.500 0.000

Results
Magnetization ... 0.00 μB per cell
Volume ... 273 Å³/f.u.
Space-group type ... C2/m

***

Which of them is the most stable, and which is the least stable? (w) and (x), in that order.

***

(w)
DFT (PBE) results for an optimized crystal structure of TbRhAu.

abc: 5.287 5.287 5.287
angles: 140.43 140.43 57.19
Fractional coordinates of all 3 atoms:
Tb1 0.000 0.000 0.000
Rh1 0.658 0.658 0.000
Au1 0.322 0.322 0.000

Results
Magnetization ... 0.00 μB per cell
Volume ... 59 Å³/f.u.
Space-group type ... I4mm

***

(x)
DFT (PBE) results for an optimized crystal structure of TbRhAu.

abc: 4.840 4.840 5.672
angles: 90.00 90.00 118.07
Fractional coordinates of all 6 atoms:
Tb1 0.162 0.838 0.750
Tb2 0.838 0.162 0.250
Rh1 0.180 0.820 0.250
Rh2 0.820 0.180 0.750
Au1 0.500 0.500 0.000
Au2 0.500 0.500 0.500

Results
Magnetization ... 0.00 μB per cell
Volume ... 59 Å³/f.u.
Space-group type ... Cmcm

***

(y)
DFT (PBE) results for an optimized crystal structure of TbRhAu.

abc: 4.582 4.582 3.438
angles: 90.00 90.00 120.00
Fractional coordinates of all 3 atoms:
Tb1 0.000 0.000 0.000
Rh1 0.667 0.333 0.500
Au1 0.333 0.667 0.500

Results
Magnetization ... 0.00 μB per cell
Volume ... 63 Å³/f.u.
Space-group type ... P-6m2

***

Which of them is the most stable, and which is the least stable? (x) and (y), in that order.

***

(w)
DFT (PBE) results for an optimized crystal structure of TcRh2Au.

abc: 4.434 4.434 4.434
angles: 60.00 60.00 60.00
Fractional coordinates of all 4 atoms:
Tc1 0.000 0.000 0.000
Rh1 0.500 0.500 0.500
Rh2 0.750 0.750 0.750
Au1 0.250 0.250 0.250

Results
Magnetization ... 0.83 μB per cell
Volume ... 62 Å³/f.u.
Space-group type ... F-43m

***

(x)
DFT (PBE) results for an optimized crystal structure of TcRh2Au.

abc: 4.869 4.869 4.869
angles: 133.22 133.22 68.31
Fractional coordinates of all 4 atoms:
Tc1 0.000 0.000 0.000
Rh1 0.500 0.500 0.000
Rh2 0.750 0.250 0.500
Au1 0.250 0.750 0.500

Results
Magnetization ... 0.00 μB per cell
Volume ... 60 Å³/f.u.
Space-group type ... I-4m2

***

Which of them is the most stable, and which is the least stable? (x) and (w), in that order.

***

(w)
DFT (PBE) results for an optimized crystal structure of TcRh2Au.

abc: 4.778 4.778 2.785
angles: 90.00 90.00 108.42
Fractional coordinates of all 4 atoms:
Tc1 0.000 0.000 0.000
Rh1 0.000 0.500 0.500
Rh2 0.500 0.000 0.500
Au1 0.500 0.500 0.000

Results
Magnetization ... 0.00 μB per cell
Volume ... 60 Å³/f.u.
Space-group type ... Cmmm

***

(x)
DFT (PBE) results for an optimized crystal structure of TcRh2Au.

abc: 2.763 3.946 5.564
angles: 90.00 90.01 90.00
Fractional coordinates of all 4 atoms:
Tc1 0.000 0.000 0.000
Rh1 0.497 0.500 0.790
Rh2 0.997 0.000 0.537
Au1 0.499 0.500 0.278

Results
Magnetization ... 0.00 μB per cell
Volume ... 61 Å³/f.u.
Space-group type ... Pm

***

Which of them is the most stable, and which is the least stable? (x) and (w), in that order.